! PBE+U V6O7F5, relaxed; values from VASP
&SYSTEM
  ibrav = 0, nat = 18, ntyp = 3
/
ATOMIC_SPECIES
V 50.94 V.upf
O 16.00 O.upf
F 19.00 F.upf
CELL_PARAMETERS angstrom
9.199 0.000 0.000
0.000 3.214 3.488
0.000 -3.214 3.488
ATOMIC_POSITIONS crystal
V 0.000 0.000 0.000
V 0.160 0.453 0.453
V 0.333 0.954 0.954
V 0.500 0.456 0.456
V 0.667 0.954 0.954
V 0.840 0.453 0.453
O 0.000 0.258 0.258
O 0.163 0.156 0.763
O 0.163 0.763 0.156
O 0.500 0.155 0.754
O 0.500 0.754 0.155
O 0.837 0.156 0.763
O 0.837 0.763 0.156
F 0.000 0.655 0.655
F 0.331 0.260 0.260
F 0.331 0.650 0.650
F 0.669 0.260 0.260
F 0.669 0.650 0.650
! Space group: Amm2, No. 38
! Crystal system: orthorhombic
! Energy relative to the lowest polymorph listed for this composition in kJ/mol of formula units: 27